(1)
A relaxed structure of Tb3ZrTl3Te8, computed with PBE.

As for the energy relative to the elements, uncorrected: -1.009 eV/atom. The crystal system is trigonal. The density comes out at 6.68 Mg/m³. The calculation puts the total energy at -69.81 eV per formula unit.

The space group is R-3m (No. 166, hexagonal axes) and the conventional cell measures 8.7298, 8.7298 and 24.8901 Å, with angles of 90.00, 90.00 and 120.00 degrees. Symmetry generates all atoms from Tb at (0.0000, 0.5000, 0.0000), Zr at (0.0000, 0.0000, 0.0000), Tl at (0.0000, 0.5000, 0.5000), Te at (0.0000, 0.0000, 0.2614) and Te at (0.0141, 0.5070, 0.7362).


(2)
A relaxed structure of TbTmTe2, computed with PBE.

The value obtained for the density of states at the Fermi level is 6.713 states/eV per cell. As for the energy relative to the elements, uncorrected: -1.240 eV/atom. The polymorph energy (0 for the lowest one) is 37 meV per atom. The crystal system is trigonal. The density comes out at 8.40 Mg/m³. The calculation puts the total energy at -20.35 eV per formula unit.

The space group is R-3m (No. 166, hexagonal axes) and the conventional cell measures 4.3280, 4.3280 and 21.3175 Å, with angles of 90.00, 90.00 and 120.00 degrees. Symmetry generates all atoms from Tb at (0.0000, 0.0000, 0.0000), Tm at (0.0000, 0.0000, 0.5000) and Te at (0.0000, 0.0000, 0.2478).


(3)
A relaxed structure of Tb3Tm2Te6, computed with PBE.

The value obtained for the density of states at the Fermi level is 14.766 states/eV per cell. As for the energy relative to the elements, uncorrected: -1.306 eV/atom. The crystal system is trigonal. The density comes out at 7.43 Mg/m³. The calculation puts the total energy at -56.05 eV per formula unit.

The space group is R-3m (No. 166, hexagonal axes) and the conventional cell measures 4.3442, 4.3442 and 64.8074 Å, with angles of 90.00, 90.00 and 120.00 degrees. Symmetry generates all atoms from Tb at (0.0000, 0.0000, 0.0000), Tb at (0.0000, 0.0000, 0.2786), Tm at (0.0000, 0.0000, 0.4472), Te at (0.0000, 0.0000, 0.0838), Te at (0.0000, 0.0000, 0.1952) and Te at (0.0000, 0.0000, 0.3609).


(4)
A relaxed structure of TbTm3Te, computed with PBE.

The value obtained for the density of states at the Fermi level is 20.015 states/eV per cell. As for the energy relative to the elements, uncorrected: -0.308 eV/atom. The crystal system is monoclinic. The density comes out at 8.63 Mg/m³. The calculation puts the total energy at -22.73 eV per formula unit.

The space group is C2/m (No. 12) and the conventional cell measures 12.0487, 5.7458 and 8.8611 Å, with angles of 90.00, 95.21 and 90.00 degrees. Symmetry generates all atoms from Tb at (0.0873, 0.0000, 0.1432), Tm at (0.0580, 0.5000, 0.3372), Tm at (0.1237, 0.0000, 0.6438), Tm at (0.1379, 0.5000, 0.9566) and Te at (0.2109, 0.5000, 0.6264).


(5)
A relaxed structure of TbTm3Te6, computed with PBE.

As for the energy relative to the elements, uncorrected: -1.348 eV/atom. The polymorph energy (0 for the lowest one) is 0 meV per atom. The crystal system is monoclinic. The density comes out at 7.42 Mg/m³. The calculation puts the total energy at -50.37 eV per formula unit.

The space group is P2_1/m (No. 11) and the conventional cell measures 12.3872, 4.3192 and 12.6945 Å, with angles of 90.00, 109.43 and 90.00 degrees. Symmetry generates all atoms from Tb at (0.0454, 0.2500, 0.1957), Tm at (0.1559, 0.2500, 0.5809), Tm at (0.3160, 0.7500, 0.9982), Tm at (0.4326, 0.2500, 0.3343), Te at (0.0833, 0.7500, 0.4010), Te at (0.1118, 0.2500, 0.9676), Te at (0.1930, 0.7500, 0.7504), Te at (0.2542, 0.7500, 0.2210), Te at (0.3924, 0.2500, 0.5613) and Te at (0.4819, 0.2500, 0.1172).


(6)
A relaxed structure of Tb5TmTe4, computed with PBE.

The value obtained for the density of states at the Fermi level is 16.727 states/eV per cell. As for the energy relative to the elements, uncorrected: -0.917 eV/atom. The crystal system is monoclinic. The density comes out at 7.78 Mg/m³. The calculation puts the total energy at -49.36 eV per formula unit.

The space group is C2/m (No. 12) and the conventional cell measures 18.2546, 4.1398 and 8.5209 Å, with angles of 90.00, 102.12 and 90.00 degrees. Symmetry generates all atoms from Tb at (0.0000, 0.0000, 0.0000), Tb at (0.1651, 0.5000, 0.2879), Tb at (0.1870, 0.5000, 0.8603), Tm at (0.0000, 0.0000, 0.5000), Te at (0.0103, 0.5000, 0.7511) and Te at (0.1663, 0.0000, 0.5662).


(7)
A relaxed structure of Tb2TmTe4, computed with PBE.

The value obtained for the density of states at the Fermi level is 11.546 states/eV per cell. As for the energy relative to the elements, uncorrected: -1.320 eV/atom. The polymorph energy (0 for the lowest one) is 51 meV per atom. The crystal system is orthorhombic. The density comes out at 7.31 Mg/m³. The calculation puts the total energy at -35.54 eV per formula unit.

The space group is Cmcm (No. 63) and the conventional cell measures 4.2138, 14.3498 and 14.9798 Å, with angles of 90.00, 90.00 and 90.00 degrees. Symmetry generates all atoms from Tb at (0.0000, 0.1313, 0.0699), Tm at (0.0000, 0.3714, 0.2500), Te at (0.0000, 0.0270, 0.2500), Te at (0.0000, 0.2193, 0.6237) and Te at (0.0000, 0.5000, 0.0000).


(8)
A relaxed structure of TbTmTe, computed with PBE.

The value obtained for the density of states at the Fermi level is 26.673 states/eV per cell. As for the energy relative to the elements, uncorrected: -0.717 eV/atom. The polymorph energy (0 for the lowest one) is 116 meV per atom. The crystal system is monoclinic. The density comes out at 8.39 Mg/m³. The calculation puts the total energy at -14.40 eV per formula unit.

The space group is C2/m (No. 12) and the conventional cell measures 16.4439, 3.9770 and 11.0459 Å, with angles of 90.00, 92.86 and 90.00 degrees. Symmetry generates all atoms from Tb at (0.0222, 0.0000, 0.3517), Tb at (0.1169, 0.5000, 0.8352), Tm at (0.1904, 0.0000, 0.0776), Tm at (0.2483, 0.5000, 0.3312), Te at (0.0708, 0.5000, 0.1591) and Te at (0.1179, 0.5000, 0.5390).


(9)
A relaxed structure of TbTmTe2, computed with PBE.

The value obtained for the density of states at the Fermi level is 4.083 states/eV per cell. As for the energy relative to the elements, uncorrected: -1.277 eV/atom. The polymorph energy (0 for the lowest one) is 0 meV per atom. The crystal system is trigonal. The density comes out at 8.37 Mg/m³. The calculation puts the total energy at -20.49 eV per formula unit.

The space group is R3m (No. 160, hexagonal axes) and the conventional cell measures 4.1890, 4.1890 and 22.8359 Å, with angles of 90.00, 90.00 and 120.00 degrees. Symmetry generates all atoms from Tb at (0.0000, 0.0000, 0.0000), Tm at (0.0000, 0.0000, 0.1731), Te at (0.0000, 0.0000, 0.5836) and Te at (0.0000, 0.0000, 0.7558).


(10)
A relaxed structure of Tb2TmTe3, computed with PBE.

The value obtained for the density of states at the Fermi level is 5.515 states/eV per cell. As for the energy relative to the elements, uncorrected: -1.263 eV/atom. The crystal system is orthorhombic. The density comes out at 8.28 Mg/m³. The calculation puts the total energy at -30.74 eV per formula unit.

The space group is Immm (No. 71) and the conventional cell measures 4.3788, 6.1248 and 13.0026 Å, with angles of 90.00, 90.00 and 90.00 degrees. Symmetry generates all atoms from Tb at (0.0000, 0.0000, 0.1727), Tm at (0.0000, 0.0000, 0.5000), Te at (0.0000, 0.5000, 0.1612) and Te at (0.0000, 0.5000, 0.5000).


(11)
A relaxed structure of TbTm2Te2, computed with PBE.

The value obtained for the density of states at the Fermi level is 15.410 states/eV per cell. As for the energy relative to the elements, uncorrected: -0.935 eV/atom. The crystal system is orthorhombic. The density comes out at 8.82 Mg/m³. The calculation puts the total energy at -24.53 eV per formula unit.

The space group is Cmc2_1 (No. 36) and the conventional cell measures 4.0765, 17.2979 and 8.0317 Å, with angles of 90.00, 90.00 and 90.00 degrees. Symmetry generates all atoms from Tb at (0.0000, 0.1269, 0.0000), Tm at (0.0000, 0.3177, 0.1587), Tm at (0.0000, 0.4763, 0.8297), Te at (0.0000, 0.0537, 0.6058) and Te at (0.0000, 0.3022, 0.7731).


(12)
A relaxed structure of Tb2TmTe4, computed with PBE.

The value obtained for the density of states at the Fermi level is 6.779 states/eV per cell. As for the energy relative to the elements, uncorrected: -1.371 eV/atom. The polymorph energy (0 for the lowest one) is 0 meV per atom. The crystal system is monoclinic. The density comes out at 7.04 Mg/m³. The calculation puts the total energy at -35.90 eV per formula unit.

The space group is C2/m (No. 12) and the conventional cell measures 16.1680, 4.3360 and 7.5806 Å, with angles of 90.00, 117.65 and 90.00 degrees. Symmetry generates all atoms from Tb at (0.2432, 0.0000, 0.2290), Tm at (0.0000, 0.5000, 0.5000), Te at (0.1178, 0.5000, 0.9475) and Te at (0.1263, 0.0000, 0.4644).


(13)
A relaxed structure of Tb2Tm2Te3, computed with PBE.

The value obtained for the density of states at the Fermi level is 10.752 states/eV per cell. As for the energy relative to the elements, uncorrected: -0.955 eV/atom. The crystal system is monoclinic. The density comes out at 8.08 Mg/m³. The calculation puts the total energy at -34.31 eV per formula unit.

The space group is C2/m (No. 12) and the conventional cell measures 15.8688, 4.1050 and 7.2265 Å, with angles of 90.00, 114.99 and 90.00 degrees. Symmetry generates all atoms from Tb at (0.1178, 0.0000, 0.3153), Tm at (0.1005, 0.5000, 0.7352), Te at (0.0000, 0.5000, 0.0000) and Te at (0.2494, 0.0000, 0.7706).


(14)
A relaxed structure of TbTmTe2, computed with PBE.

The value obtained for the density of states at the Fermi level is 2.519 states/eV per cell. As for the energy relative to the elements, uncorrected: -1.126 eV/atom. The polymorph energy (0 for the lowest one) is 151 meV per atom. The crystal system is tetragonal. The density comes out at 9.04 Mg/m³. The calculation puts the total energy at -19.89 eV per formula unit.

The space group is P4/mmm (No. 123) and the conventional cell measures 5.3311, 5.3311 and 3.7666 Å, with angles of 90.00, 90.00 and 90.00 degrees. Symmetry generates all atoms from Tb at (0.0000, 0.0000, 0.0000), Tm at (0.5000, 0.5000, 0.0000) and Te at (0.0000, 0.5000, 0.5000).


(15)
A relaxed structure of TbTmTe2, computed with PBE.

The value obtained for the density of states at the Fermi level is 9.883 states/eV per cell. As for the energy relative to the elements, uncorrected: -1.123 eV/atom. The polymorph energy (0 for the lowest one) is 155 meV per atom. The crystal system is cubic. The density comes out at 9.03 Mg/m³. The calculation puts the total energy at -19.88 eV per formula unit.

The space group is Fm-3m (No. 225) and the conventional cell measures 7.5406, 7.5406 and 7.5406 Å, with angles of 90.00, 90.00 and 90.00 degrees. Symmetry generates all atoms from Tb at (0.0000, 0.0000, 0.0000), Tm at (0.0000, 0.0000, 0.5000) and Te at (0.2500, 0.2500, 0.2500).


(16)
A relaxed structure of TbTm12Te7, computed with PBE.

The value obtained for the density of states at the Fermi level is 47.603 states/eV per cell. As for the energy relative to the elements, uncorrected: -0.697 eV/atom. The crystal system is trigonal. The density comes out at 8.33 Mg/m³. The calculation puts the total energy at -94.21 eV per formula unit.

The space group is R-3 (No. 148, hexagonal axes) and the conventional cell measures 14.9885, 14.9885 and 9.4703 Å, with angles of 90.00, 90.00 and 120.00 degrees. Symmetry generates all atoms from Tb at (0.0000, 0.0000, 0.0000), Tm at (0.0173, 0.4008, 0.6994), Tm at (0.0842, 0.8773, 0.3447), Te at (0.0000, 0.0000, 0.5000) and Te at (0.0840, 0.8909, 0.8233).


(17)
A relaxed structure of TbTmTe, computed with PBE.

The value obtained for the density of states at the Fermi level is 3.655 states/eV per cell. As for the energy relative to the elements, uncorrected: -0.767 eV/atom. The polymorph energy (0 for the lowest one) is 67 meV per atom. The crystal system is tetragonal. The density comes out at 8.88 Mg/m³. The calculation puts the total energy at -14.54 eV per formula unit.

The space group is I4mm (No. 107) and the conventional cell measures 3.8463, 3.8463 and 11.5164 Å, with angles of 90.00, 90.00 and 90.00 degrees. Symmetry generates all atoms from Tb at (0.0000, 0.0000, 0.0000), Tm at (0.0000, 0.0000, 0.6868) and Te at (0.0000, 0.0000, 0.3385).


(18)
A relaxed structure of TbTmTe, computed with PBE.

The value obtained for the density of states at the Fermi level is 17.759 states/eV per cell. As for the energy relative to the elements, uncorrected: -0.834 eV/atom. The polymorph energy (0 for the lowest one) is 0 meV per atom. The crystal system is monoclinic. The density comes out at 9.09 Mg/m³. The calculation puts the total energy at -14.74 eV per formula unit.

The space group is P2_1/m (No. 11) and the conventional cell measures 8.4253, 4.0201 and 14.7352 Å, with angles of 90.00, 90.76 and 90.00 degrees. Symmetry generates all atoms from Tb at (0.0372, 0.2500, 0.2901), Tb at (0.3577, 0.7500, 0.9079), Tb at (0.4560, 0.7500, 0.6127), Tm at (0.0042, 0.2500, 0.9044), Tm at (0.1351, 0.2500, 0.5471), Tm at (0.3612, 0.7500, 0.2072), Te at (0.2625, 0.7500, 0.4092), Te at (0.2675, 0.2500, 0.7480) and Te at (0.2705, 0.2500, 0.0583).


(19)
A relaxed structure of Tb2Tm5Te4, computed with PBE.

The value obtained for the density of states at the Fermi level is 19.337 states/eV per cell. As for the energy relative to the elements, uncorrected: -0.620 eV/atom. The crystal system is monoclinic. The density comes out at 7.60 Mg/m³. The calculation puts the total energy at -51.01 eV per formula unit.

The space group is C2/m (No. 12) and the conventional cell measures 25.4214, 4.0111 and 7.1724 Å, with angles of 90.00, 91.47 and 90.00 degrees. Symmetry generates all atoms from Tb at (0.2346, 0.0000, 0.2993), Tm at (0.0000, 0.0000, 0.5000), Tm at (0.1392, 0.5000, 0.5062), Tm at (0.1570, 0.5000, 0.9941), Te at (0.0491, 0.5000, 0.7640) and Te at (0.0949, 0.0000, 0.2285).


(20)
A relaxed structure of Tb3TmTe, computed with PBE.

The value obtained for the density of states at the Fermi level is 22.428 states/eV per cell. As for the energy relative to the elements, uncorrected: -0.341 eV/atom. The crystal system is monoclinic. The density comes out at 8.14 Mg/m³. The calculation puts the total energy at -23.21 eV per formula unit.

The space group is C2/m (No. 12) and the conventional cell measures 12.0347, 5.7730 and 9.1307 Å, with angles of 90.00, 95.86 and 90.00 degrees. Symmetry generates all atoms from Tb at (0.0590, 0.0000, 0.3428), Tb at (0.1268, 0.5000, 0.6343), Tb at (0.1392, 0.0000, 0.9560), Tm at (0.0781, 0.5000, 0.1519) and Te at (0.2142, 0.0000, 0.6330).